Here is a relaxed structure of Hf6FeRh5 from Alexandria. Energies are from PBE.

```
Hf6FeRh5
1.0
2.300 -6.893 0.000
2.300 6.893 0.000
0.000 0.000 6.499
Hf Fe Rh
6 1 5
direct
0.000 0.000 0.245 Hf
0.000 0.000 0.755 Hf
0.336 0.664 0.248 Hf
0.336 0.664 0.752 Hf
0.664 0.336 0.248 Hf
0.664 0.336 0.752 Hf
0.500 0.500 0.000 Fe
0.167 0.833 0.500 Rh
0.168 0.832 0.000 Rh
0.500 0.500 0.500 Rh
0.832 0.168 0.000 Rh
0.833 0.167 0.500 Rh
```

Results
**Crystal system**: orthorhombic
**Energy of formation**: -0.771 eV/atom
**Raw total energy**: -9.516 eV/atom
**DOS at the Fermi energy**: 10.790 states/eV/cell
**Magnetic moment**: 0.8 μB per cell